{
  "formula": "CrCd2CoRu",
  "functional": "PBE",
  "state": "relaxed",
  "total_energy_ev_per_atom": -4.3809,
  "dos_ef_per_ev_cell": 5.7,
  "total_magnetization_mub_per_cell": 6.23,
  "ef_mev_per_atom": 1186,
  "lattice": [[5.161, 0.000, 0.000], [0.000, 5.161, 0.000], [0.000, 0.000, 4.345]],
  "species": ["Cr", "Cd", "Cd", "Co", "Ru"],
  "fractional_positions": [[0.000, 0.000, 0.000], [0.000, 0.500, 0.500], [0.500, 0.000, 0.500], [0.500, 0.500, 0.000], [0.500, 0.500, 0.500]]
}